No. 1
# CuIr2S4 (GGA-PBE, relaxed)
data_CuIr2S4
_chemical_formula_sum 'Cu2 Ir4 S8'
_cell_length_a 7.0218
_cell_length_b 7.0218
_cell_length_c 7.0218
_cell_angle_alpha 60.00
_cell_angle_beta 60.00
_cell_angle_gamma 60.00
_space_group_name_H-M_alt 'P 1'
_space_group_IT_number 1
_space_group_name_Hall 'P 1'
loop_
_atom_site_label
_atom_site_fract_x
_atom_site_fract_y
_atom_site_fract_z
Cu1 0.1250 0.1250 0.1250
Cu2 0.8750 0.8750 0.8750
Ir1 0.0000 0.5000 0.5000
Ir2 0.5000 0.0000 0.5000
Ir3 0.5000 0.5000 0.0000
Ir4 0.5000 0.5000 0.5000
S1 0.2605 0.2605 0.2605
S2 0.2605 0.2605 0.7184
S3 0.2605 0.7184 0.2605
S4 0.2816 0.7395 0.7395
S5 0.7184 0.2605 0.2605
S6 0.7395 0.2816 0.7395
S7 0.7395 0.7395 0.2816
S8 0.7395 0.7395 0.7395
# Formation energy from raw total energies ... -0.366 eV/atom
# Crystal system ... cubic
# Total magnetization ... 0.0 Bohr magnetons per cell
# Offset from the most stable computed form ... 0 kJ/mol of formula units



No. 2
# ZnAs2Rh (GGA-PBE, relaxed)
data_ZnAs2Rh
_chemical_formula_sum 'Zn1 As2 Rh1'
_cell_length_a 4.1850
_cell_length_b 4.1850
_cell_length_c 3.7032
_cell_angle_alpha 90.00
_cell_angle_beta 90.00
_cell_angle_gamma 90.00
_space_group_name_H-M_alt 'P 1'
_space_group_IT_number 1
_space_group_name_Hall 'P 1'
loop_
_atom_site_label
_atom_site_fract_x
_atom_site_fract_y
_atom_site_fract_z
Zn1 0.0000 0.0000 0.0000
As1 0.0000 0.5000 0.5000
As2 0.5000 0.0000 0.5000
Rh1 0.5000 0.5000 0.0000
# ΔE_f ... 0.0453 eV per atom
# Crystal system ... tetragonal
# Total magnetization ... 0.0 Bohr magnetons per cell



No. 3
# Cs3PrTh2Te6 (GGA-PBE, relaxed)
data_Cs3PrTh2Te6
_chemical_formula_sum 'Cs3 Pr1 Th2 Te6'
_cell_length_a 7.9433
_cell_length_b 7.9433
_cell_length_c 9.4708
_cell_angle_alpha 98.03
_cell_angle_beta 98.03
_cell_angle_gamma 120.00
_space_group_name_H-M_alt 'P 1'
_space_group_IT_number 1
_space_group_name_Hall 'P 1'
loop_
_atom_site_label
_atom_site_fract_x
_atom_site_fract_y
_atom_site_fract_z
Cs1 0.0000 0.0000 0.0000
Cs2 0.3353 0.6647 0.0000
Cs3 0.6647 0.3353 0.0000
Pr1 0.5000 0.5000 0.5000
Th1 0.1669 0.8331 0.5000
Th2 0.8331 0.1669 0.5000
Te1 0.0939 0.4334 0.3005
Te2 0.2265 0.2265 0.6987
Te3 0.4334 0.0939 0.3005
Te4 0.5666 0.9061 0.6995
Te5 0.7735 0.7735 0.3013
Te6 0.9061 0.5666 0.6995
# Formation energy from raw total energies ... -1.254 eV/atom
# Crystal system ... monoclinic
# Total magnetization ... 0.0 Bohr magnetons per cell



No. 4
# TaMo3Os (GGA-PBE, relaxed)
data_TaMo3Os
_chemical_formula_sum 'Ta1 Mo3 Os1'
_cell_length_a 4.6844
_cell_length_b 4.6844
_cell_length_c 4.6844
_cell_angle_alpha 90.00
_cell_angle_beta 90.00
_cell_angle_gamma 90.00
_space_group_name_H-M_alt 'P 1'
_space_group_IT_number 1
_space_group_name_Hall 'P 1'
loop_
_atom_site_label
_atom_site_fract_x
_atom_site_fract_y
_atom_site_fract_z
Ta1 0.0000 0.0000 0.0000
Mo1 0.0000 0.5000 0.5000
Mo2 0.5000 0.0000 0.5000
Mo3 0.5000 0.5000 0.0000
Os1 0.5000 0.5000 0.5000
# ΔE_f ... 1.6164 eV per atom
# Crystal system ... cubic
# Total magnetization ... 0.0 Bohr magnetons per cell
# Offset from the most stable computed form ... 0 kJ/mol of formula units



Short version: VASP energy = -5.8411 -4.4358 -4.6731 -9.4987 eV per atom, in the order given.